DFT (PBE) results for Ga3IrF after structural relaxation.

Cell: 4.3388 4.3388 4.3388 Å, 90.00 90.00 90.00°
Last column: nearest neighbours and their distance in Å.
Element x y z (fractional)
Ir1 0.5000 0.5000 0.5000  12 Ga 3.07
Ga1 0.0000 0.5000 0.0000  2 F 2.17
Ga2 0.0000 0.0000 0.5000  2 F 2.17
Ga3 0.5000 0.0000 0.0000  2 F 2.17
F1 0.0000 0.0000 0.0000  6 Ga 2.17

Calculated values
ΔE_f (raw) in meV per atom: -44
Total moment in μB/f.u.: 0.0
ρ in g cm⁻³: 8.55